Computed, not measured: a relaxed Dy8Tl2Ir crystal at the GGA-PBE level of DFT.

Values from the calculation:
uncorrected energy	-4.88	eV per atom
DOS(E_F)	9.9	states/eV/f.u.
energy relative to the elements	-0.301	eV per atom
symmetry	C2/m

```
data_Dy8Tl2Ir
_space_group_name_H-M_alt 'P 1'
_space_group_IT_number 1
_cell_length_a 5.184
_cell_length_b 6.738
_cell_length_c 9.876
_cell_angle_alpha 110.13
_cell_angle_beta 105.22
_cell_angle_gamma 90.00
loop_
_space_group_symop_operation_xyz
'x,y,z'
loop_
_atom_site_label
_atom_site_type_symbol
_atom_site_fract_x
_atom_site_fract_y
_atom_site_fract_z
_atom_site_occupancy
Dy1 Dy 0.648 0.990 0.297 1
Tl1 Tl 0.175 0.740 0.349 1
Dy2 Dy 0.018 0.791 0.037 1
Dy3 Dy 0.352 0.010 0.703 1
Tl2 Tl 0.825 0.260 0.651 1
Dy4 Dy 0.790 0.673 0.580 1
Dy5 Dy 0.210 0.327 0.420 1
Dy6 Dy 0.410 0.560 0.819 1
Dy7 Dy 0.982 0.209 0.963 1
Ir1 Ir 0.500 0.000 0.000 1
Dy8 Dy 0.590 0.440 0.181 1
```

***

Computed, not measured: a relaxed Dy3TlIr crystal at the GGA-PBE level of DFT.

Values from the calculation:
uncorrected energy	-5.50	eV per atom
DOS(E_F)	3.8	states/eV/f.u.
energy relative to the elements	-0.489	eV per atom
relative energy among the computed polymorphs	85	meV/atom
symmetry	C2/m

```
data_Dy3TlIr
_space_group_name_H-M_alt 'P 1'
_space_group_IT_number 1
_cell_length_a 5.545
_cell_length_b 6.717
_cell_length_c 9.030
_cell_angle_alpha 111.19
_cell_angle_beta 90.00
_cell_angle_gamma 114.38
loop_
_space_group_symop_operation_xyz
'x,y,z'
loop_
_atom_site_label
_atom_site_type_symbol
_atom_site_fract_x
_atom_site_fract_y
_atom_site_fract_z
_atom_site_occupancy
Dy1 Dy 0.385 0.770 0.100 1
Dy2 Dy 0.615 0.230 0.900 1
Dy3 Dy 0.105 0.211 0.219 1
Dy4 Dy 0.895 0.789 0.781 1
Dy5 Dy 0.162 0.324 0.656 1
Ir1 Ir 0.139 0.277 0.938 1
Tl1 Tl 0.615 0.230 0.458 1
Dy6 Dy 0.838 0.676 0.344 1
Tl2 Tl 0.385 0.770 0.542 1
Ir2 Ir 0.861 0.723 0.062 1
```

***

Computed, not measured: a relaxed Dy5TlIr4 crystal at the GGA-PBE level of DFT.

Values from the calculation:
uncorrected energy	-6.81	eV per atom
DOS(E_F)	9.5	states/eV/f.u.
energy relative to the elements	-0.723	eV per atom
symmetry	P4/mmm

```
data_Dy5TlIr4
_space_group_name_H-M_alt 'P 1'
_space_group_IT_number 1
_cell_length_a 3.495
_cell_length_b 3.495
_cell_length_c 17.668
_cell_angle_alpha 90.00
_cell_angle_beta 90.00
_cell_angle_gamma 90.00
loop_
_space_group_symop_operation_xyz
'x,y,z'
loop_
_atom_site_label
_atom_site_type_symbol
_atom_site_fract_x
_atom_site_fract_y
_atom_site_fract_z
_atom_site_occupancy
Ir1 Ir 0.000 0.000 0.595 1
Tl1 Tl 0.000 0.000 0.000 1
Dy1 Dy 0.500 0.500 0.500 1
Dy2 Dy 0.500 0.500 0.312 1
Dy3 Dy 0.500 0.500 0.688 1
Dy4 Dy 0.500 0.500 0.125 1
Ir2 Ir 0.000 0.000 0.214 1
Dy5 Dy 0.500 0.500 0.875 1
Ir3 Ir 0.000 0.000 0.405 1
Ir4 Ir 0.000 0.000 0.786 1
```

***

Computed, not measured: a relaxed Dy12Tl6Ir crystal at the GGA-PBE level of DFT.

Values from the calculation:
uncorrected energy	-4.33	eV per atom
DOS(E_F)	18.0	states/eV/f.u.
energy relative to the elements	-0.208	eV per atom
symmetry	R-3

```
data_Dy12Tl6Ir
_space_group_name_H-M_alt 'P 1'
_space_group_IT_number 1
_cell_length_a 8.343
_cell_length_b 8.343
_cell_length_c 8.343
_cell_angle_alpha 93.80
_cell_angle_beta 93.80
_cell_angle_gamma 93.80
loop_
_space_group_symop_operation_xyz
'x,y,z'
loop_
_atom_site_label
_atom_site_type_symbol
_atom_site_fract_x
_atom_site_fract_y
_atom_site_fract_z
_atom_site_occupancy
Tl1 Tl 0.866 0.272 0.649 1
Tl2 Tl 0.351 0.134 0.728 1
Dy1 Dy 0.547 0.205 0.426 1
Tl3 Tl 0.649 0.866 0.272 1
Dy2 Dy 0.093 0.313 0.968 1
Dy3 Dy 0.032 0.907 0.687 1
Dy4 Dy 0.907 0.687 0.032 1
Dy5 Dy 0.968 0.093 0.313 1
Dy6 Dy 0.687 0.032 0.907 1
Dy7 Dy 0.795 0.574 0.453 1
Ir1 Ir 0.000 0.000 0.000 1
Dy8 Dy 0.313 0.968 0.093 1
Dy9 Dy 0.453 0.795 0.574 1
Dy10 Dy 0.426 0.547 0.205 1
Tl4 Tl 0.728 0.351 0.134 1
Dy11 Dy 0.574 0.453 0.795 1
Tl5 Tl 0.134 0.728 0.351 1
Tl6 Tl 0.272 0.649 0.866 1
Dy12 Dy 0.205 0.426 0.547 1
```

***

Computed, not measured: a relaxed Dy6Tl2Ir crystal at the GGA-PBE level of DFT.

Values from the calculation:
uncorrected energy	-5.00	eV per atom
DOS(E_F)	10.3	states/eV/f.u.
energy relative to the elements	-0.424	eV per atom
relative energy among the computed polymorphs	0	meV/atom
symmetry	Amm2

```
data_Dy6Tl2Ir
_space_group_name_H-M_alt 'P 1'
_space_group_IT_number 1
_cell_length_a 3.868
_cell_length_b 8.702
_cell_length_c 8.615
_cell_angle_alpha 120.33
_cell_angle_beta 90.00
_cell_angle_gamma 90.00
loop_
_space_group_symop_operation_xyz
'x,y,z'
loop_
_atom_site_label
_atom_site_type_symbol
_atom_site_fract_x
_atom_site_fract_y
_atom_site_fract_z
_atom_site_occupancy
Dy1 Dy 0.500 0.602 0.000 1
Tl1 Tl 0.000 0.330 0.663 1
Dy2 Dy 0.500 0.387 0.389 1
Dy3 Dy 0.000 0.247 0.000 1
Ir1 Ir 0.500 0.013 0.000 1
Dy4 Dy 0.000 0.761 0.765 1
Dy5 Dy 0.500 0.998 0.611 1
Tl2 Tl 0.000 0.667 0.337 1
Dy6 Dy 0.000 0.996 0.235 1
```

***

Computed, not measured: a relaxed Dy6Tl3Ir crystal at the GGA-PBE level of DFT.

Values from the calculation:
uncorrected energy	-4.63	eV per atom
DOS(E_F)	8.7	states/eV/f.u.
energy relative to the elements	-0.277	eV per atom
symmetry	C2/m

```
data_Dy6Tl3Ir
_space_group_name_H-M_alt 'P 1'
_space_group_IT_number 1
_cell_length_a 7.416
_cell_length_b 6.781
_cell_length_c 6.781
_cell_angle_alpha 63.90
_cell_angle_beta 79.08
_cell_angle_gamma 79.08
loop_
_space_group_symop_operation_xyz
'x,y,z'
loop_
_atom_site_label
_atom_site_type_symbol
_atom_site_fract_x
_atom_site_fract_y
_atom_site_fract_z
_atom_site_occupancy
Tl1 Tl 0.273 0.171 0.171 1
Dy1 Dy 0.149 0.664 0.664 1
Dy2 Dy 0.340 0.642 0.136 1
Ir1 Ir 0.500 0.500 0.500 1
Dy3 Dy 0.660 0.358 0.864 1
Dy4 Dy 0.340 0.136 0.642 1
Tl2 Tl 0.727 0.829 0.829 1
Dy5 Dy 0.660 0.864 0.358 1
Tl3 Tl 0.000 0.000 0.000 1
Dy6 Dy 0.851 0.336 0.336 1
```

***

Computed, not measured: a relaxed DyTm3Ir4 crystal at the GGA-PBE level of DFT.

Values from the calculation:
uncorrected energy	-7.58	eV per atom
DOS(E_F)	1.7	states/eV/f.u.
energy relative to the elements	-0.894	eV per atom
symmetry	P4/mmm

```
data_DyTm3Ir4
_space_group_name_H-M_alt 'P 1'
_space_group_IT_number 1
_cell_length_a 4.682
_cell_length_b 7.106
_cell_length_c 9.364
_cell_angle_alpha 90.00
_cell_angle_beta 90.00
_cell_angle_gamma 90.00
loop_
_space_group_symop_operation_xyz
'x,y,z'
loop_
_atom_site_label
_atom_site_type_symbol
_atom_site_fract_x
_atom_site_fract_y
_atom_site_fract_z
_atom_site_occupancy
Dy1 Dy 0.000 0.500 0.500 1
Tm1 Tm 0.000 0.000 0.000 1
Tm2 Tm 0.000 0.000 0.500 1
Ir1 Ir 0.000 0.752 0.250 1
Ir2 Ir 0.000 0.248 0.750 1
Ir3 Ir 0.500 0.248 0.500 1
Ir4 Ir 0.500 0.752 0.500 1
Tm3 Tm 0.500 0.500 0.750 1
Dy2 Dy 0.000 0.500 0.000 1
Tm4 Tm 0.500 0.000 0.250 1
Tm5 Tm 0.500 0.000 0.750 1
Tm6 Tm 0.500 0.500 0.250 1
Ir5 Ir 0.000 0.248 0.250 1
Ir6 Ir 0.500 0.248 0.000 1
Ir7 Ir 0.000 0.752 0.750 1
Ir8 Ir 0.500 0.752 0.000 1
```

***

Computed, not measured: a relaxed Dy2TmIr2 crystal at the GGA-PBE level of DFT.

Values from the calculation:
uncorrected energy	-6.74	eV per atom
DOS(E_F)	3.1	states/eV/f.u.
energy relative to the elements	-0.462	eV per atom
relative energy among the computed polymorphs	298	meV/atom
symmetry	Cmcm

```
data_Dy2TmIr2
_space_group_name_H-M_alt 'P 1'
_space_group_IT_number 1
_cell_length_a 5.479
_cell_length_b 5.982
_cell_length_c 7.780
_cell_angle_alpha 112.61
_cell_angle_beta 90.00
_cell_angle_gamma 90.00
loop_
_space_group_symop_operation_xyz
'x,y,z'
loop_
_atom_site_label
_atom_site_type_symbol
_atom_site_fract_x
_atom_site_fract_y
_atom_site_fract_z
_atom_site_occupancy
Dy1 Dy 0.250 0.580 0.161 1
Tm1 Tm 0.000 0.000 0.000 1
Tm2 Tm 0.500 0.000 0.000 1
Dy2 Dy 0.750 0.420 0.839 1
Dy3 Dy 0.250 0.218 0.435 1
Ir1 Ir 0.250 0.137 0.754 1
Ir2 Ir 0.750 0.863 0.246 1
Ir3 Ir 0.250 0.617 0.754 1
Ir4 Ir 0.750 0.383 0.246 1
Dy4 Dy 0.750 0.782 0.565 1
```